A plane-wave DFT calculation with PBE-GGA was carried out for DyHoTm14 after structural relaxation.

Unit cell a=6.827 b=6.827 c=10.901 alpha=90.00 beta=90.00 gamma=107.69
Element x y z (fractional)
Tm (0.346, 0.654, 0.230)
Tm (0.620, 0.788, 0.500)
Tm (0.904, 0.096, 0.268)
Tm (0.106, 0.894, 0.000)
Tm (0.416, 0.166, 0.751)
Tm (0.834, 0.584, 0.751)
Tm (0.416, 0.166, 0.249)
Tm (0.039, 0.370, 0.000)
Tm (0.555, 0.445, 0.000)
Tm (0.834, 0.584, 0.249)
Tm (0.346, 0.654, 0.770)
Tm (0.904, 0.096, 0.732)
Tm (0.212, 0.380, 0.500)
Tm (0.630, 0.961, 0.000)
Ho (0.143, 0.857, 0.500)
Dy (0.696, 0.304, 0.500)

Calculated values
- N(E_F) (states/eV per cell) = 29.9
- theoretical density (kg/m3) = 9237
- formation enthalpy at 0 K (eV per atom) = 0.06

---

A plane-wave DFT calculation with PBE-GGA was carried out for Dy2Ho5Tm3 after structural relaxation.

Unit cell a=9.355 b=9.391 c=10.968 alpha=125.70 beta=125.63 gamma=68.62
Element x y z (fractional)
Dy (0.780, 0.021, 0.754)
Dy (0.526, 0.266, 0.246)
Dy (0.220, 0.979, 0.246)
Dy (0.474, 0.734, 0.754)
Tm (0.726, 0.465, 0.239)
Tm (0.987, 0.226, 0.761)
Tm (0.223, 0.973, 0.946)
Tm (0.777, 0.027, 0.054)
Tm (0.274, 0.535, 0.761)
Tm (0.013, 0.774, 0.239)
Ho (0.479, 0.729, 0.458)
Ho (0.521, 0.271, 0.542)
Ho (0.877, 0.624, 0.772)
Ho (0.018, 0.768, 0.537)
Ho (0.720, 0.470, 0.940)
Ho (0.982, 0.232, 0.463)
Ho (0.123, 0.376, 0.228)
Ho (0.604, 0.852, 0.228)
Ho (0.396, 0.148, 0.772)
Ho (0.280, 0.530, 0.060)

Calculated values
- excess energy over the best structure of this formula in the dataset (meV per atom) = 0
- N(E_F) (states/eV per cell) = 35.3
- theoretical density (kg/m3) = 8656
- formation enthalpy at 0 K (eV per atom) = 0.20

---

A plane-wave DFT calculation with PBE-GGA was carried out for Dy5Ho2Tm after structural relaxation.

Unit cell a=5.581 b=8.586 c=11.313 alpha=89.99 beta=90.00 gamma=108.99
Element x y z (fractional)
Dy (0.394, 0.787, 0.750)
Dy (0.588, 0.176, 0.580)
Dy (0.412, 0.824, 0.420)
Dy (0.954, 0.909, 0.888)
Dy (0.046, 0.091, 0.112)
Dy (0.606, 0.213, 0.250)
Dy (0.046, 0.092, 0.388)
Dy (0.954, 0.908, 0.612)
Dy (0.588, 0.176, 0.920)
Dy (0.412, 0.824, 0.080)
Ho (0.787, 0.573, 0.081)
Ho (0.787, 0.573, 0.419)
Ho (0.213, 0.427, 0.581)
Ho (0.213, 0.427, 0.919)
Tm (0.228, 0.455, 0.250)
Tm (0.772, 0.545, 0.750)

Calculated values
- excess energy over the best structure of this formula in the dataset (meV per atom) = 120
- N(E_F) (states/eV per cell) = 25.3
- theoretical density (kg/m3) = 8495
- formation enthalpy at 0 K (eV per atom) = 0.14

---

A plane-wave DFT calculation with PBE-GGA was carried out for Dy2Ho3Tm3 after structural relaxation.

Unit cell a=4.958 b=4.960 c=10.526 alpha=103.62 beta=103.62 gamma=90.00
Element x y z (fractional)
Ho (0.376, 0.376, 0.751)
Ho (0.624, 0.624, 0.249)
Ho (0.500, 0.000, 0.000)
Dy (0.250, 0.750, 0.500)
Dy (0.750, 0.250, 0.500)
Tm (0.875, 0.875, 0.751)
Tm (0.000, 0.500, 0.000)
Tm (0.125, 0.125, 0.249)

Calculated values
- excess energy over the best structure of this formula in the dataset (meV per atom) = 0
- N(E_F) (states/eV per cell) = 10.9
- theoretical density (kg/m3) = 9024
- formation enthalpy at 0 K (eV per atom) = 0.02

---

A plane-wave DFT calculation with PBE-GGA was carried out for Dy2Ho6Tm after structural relaxation.

Unit cell a=3.519 b=8.603 c=12.668 alpha=132.77 beta=82.03 gamma=90.05
Element x y z (fractional)
Ho (0.666, 0.667, 0.667)
Ho (0.222, 0.888, 0.555)
Ho (0.889, 0.555, 0.222)
Ho (0.111, 0.445, 0.778)
Ho (0.778, 0.112, 0.445)
Ho (0.334, 0.333, 0.333)
Tm (0.000, 0.000, 0.000)
Dy (0.555, 0.222, 0.889)
Dy (0.445, 0.778, 0.111)

Calculated values
- N(E_F) (states/eV per cell) = 12.2
- theoretical density (kg/m3) = 8910
- formation enthalpy at 0 K (eV per atom) = 0.02

---

A plane-wave DFT calculation with PBE-GGA was carried out for Dy5Ho3Tm after structural relaxation.

Unit cell a=9.411 b=9.411 c=11.490 alpha=52.85 beta=52.85 gamma=74.21
Element x y z (fractional)
Dy (0.152, 0.656, 0.747)
Dy (0.257, 0.743, 0.000)
Dy (0.743, 0.257, 0.000)
Dy (0.511, 0.511, 0.766)
Dy (0.184, 0.184, 0.038)
Dy (0.489, 0.489, 0.234)
Dy (0.848, 0.344, 0.253)
Dy (0.816, 0.816, 0.962)
Dy (0.344, 0.848, 0.253)
Dy (0.656, 0.152, 0.747)
Ho (0.659, 0.659, 0.360)
Ho (0.000, 0.000, 0.500)
Ho (0.308, 0.308, 0.182)
Ho (0.341, 0.341, 0.640)
Ho (0.692, 0.692, 0.818)
Ho (0.000, 0.000, 0.000)
Tm (0.148, 0.148, 0.600)
Tm (0.852, 0.852, 0.400)

Calculated values
- excess energy over the best structure of this formula in the dataset (meV per atom) = 229
- N(E_F) (states/eV per cell) = 24.5
- theoretical density (kg/m3) = 7664
- formation enthalpy at 0 K (eV per atom) = 0.53

---

A plane-wave DFT calculation with PBE-GGA was carried out for Dy4Ho3Tm5 after structural relaxation.

Unit cell a=7.022 b=11.087 c=12.639 alpha=151.29 beta=56.32 gamma=129.28
Element x y z (fractional)
Tm (0.500, 0.000, 0.500)
Tm (0.249, 0.500, 0.000)
Tm (0.667, 0.334, 0.167)
Tm (0.751, 0.500, 0.000)
Tm (0.333, 0.666, 0.833)
Dy (0.083, 0.165, 0.333)
Dy (0.167, 0.335, 0.168)
Dy (0.833, 0.665, 0.832)
Dy (0.917, 0.835, 0.667)
Ho (0.583, 0.165, 0.333)
Ho (0.417, 0.835, 0.667)
Ho (0.000, 0.000, 0.500)

Calculated values
- excess energy over the best structure of this formula in the dataset (meV per atom) = 0
- N(E_F) (states/eV per cell) = 15.6
- theoretical density (kg/m3) = 9029
- formation enthalpy at 0 K (eV per atom) = 0.02

---

A plane-wave DFT calculation with PBE-GGA was carried out for Dy3Ho2Tm3 after structural relaxation.

Unit cell a=4.959 b=4.962 c=10.539 alpha=103.62 beta=103.61 gamma=90.00
Element x y z (fractional)
Dy (0.625, 0.625, 0.249)
Dy (0.500, 0.000, 0.000)
Dy (0.375, 0.375, 0.751)
Ho (0.750, 0.250, 0.500)
Ho (0.250, 0.750, 0.500)
Tm (0.000, 0.500, 0.000)
Tm (0.875, 0.875, 0.750)
Tm (0.125, 0.125, 0.250)

Calculated values
- excess energy over the best structure of this formula in the dataset (meV per atom) = 0
- N(E_F) (states/eV per cell) = 10.9
- theoretical density (kg/m3) = 8992
- formation enthalpy at 0 K (eV per atom) = 0.02

---

A plane-wave DFT calculation with PBE-GGA was carried out for DyHo2Tm5 after structural relaxation.

Unit cell a=6.527 b=8.729 c=10.855 alpha=79.04 beta=120.79 gamma=112.44
Element x y z (fractional)
Dy (0.205, 0.417, 0.250)
Dy (0.795, 0.583, 0.750)
Ho (0.834, 0.633, 0.425)
Ho (0.166, 0.367, 0.575)
Ho (0.201, 0.373, 0.926)
Ho (0.799, 0.627, 0.074)
Tm (0.434, 0.795, 0.451)
Tm (0.566, 0.205, 0.549)
Tm (0.364, 0.711, 0.753)
Tm (0.884, 0.024, 0.340)
Tm (0.372, 0.794, 0.055)
Tm (0.122, 0.013, 0.162)
Tm (0.636, 0.289, 0.247)
Tm (0.116, 0.976, 0.660)
Tm (0.878, 0.987, 0.838)
Tm (0.628, 0.206, 0.945)

Calculated values
- excess energy over the best structure of this formula in the dataset (meV per atom) = 126
- N(E_F) (states/eV per cell) = 24.1
- theoretical density (kg/m3) = 9043
- formation enthalpy at 0 K (eV per atom) = 0.15

---

A plane-wave DFT calculation with PBE-GGA was carried out for Dy6Ho4Tm after structural relaxation.

Unit cell a=6.493 b=6.493 c=9.650 alpha=109.66 beta=109.66 gamma=90.00
Element x y z (fractional)
Dy (0.513, 0.513, 0.653)
Dy (0.500, 0.000, 0.000)
Dy (0.860, 0.487, 0.347)
Dy (0.000, 0.500, 0.000)
Dy (0.140, 0.140, 0.653)
Dy (0.487, 0.860, 0.347)
Ho (0.048, 0.689, 0.737)
Ho (0.952, 0.952, 0.263)
Ho (0.311, 0.311, 0.263)
Ho (0.689, 0.048, 0.737)
Tm (0.500, 0.500, 0.000)

Calculated values
- excess energy over the best structure of this formula in the dataset (meV per atom) = 174
- N(E_F) (states/eV per cell) = 13.4
- theoretical density (kg/m3) = 8369
- formation enthalpy at 0 K (eV per atom) = 0.31

---

A plane-wave DFT calculation with PBE-GGA was carried out for Dy4Ho7Tm after structural relaxation.

Unit cell a=6.726 b=6.437 c=11.598 alpha=75.10 beta=50.51 gamma=82.04
Element x y z (fractional)
Dy (0.307, 0.160, 0.309)
Dy (0.693, 0.840, 0.691)
Dy (0.477, 0.360, 0.716)
Dy (0.523, 0.640, 0.284)
Ho (0.500, 0.000, 0.000)
Ho (0.719, 0.191, 0.387)
Ho (0.197, 0.487, 0.052)
Ho (0.940, 0.686, 0.359)
Ho (0.060, 0.314, 0.641)
Ho (0.803, 0.513, 0.948)
Ho (0.281, 0.809, 0.613)
Tm (0.000, 0.000, 0.000)

Calculated values
- excess energy over the best structure of this formula in the dataset (meV per atom) = 0
- N(E_F) (states/eV per cell) = 19.5
- theoretical density (kg/m3) = 8755
- formation enthalpy at 0 K (eV per atom) = 0.09

---

A plane-wave DFT calculation with PBE-GGA was carried out for Dy2Ho7Tm4 after structural relaxation.

Unit cell a=8.757 b=14.708 c=6.649 alpha=84.62 beta=109.88 gamma=147.42
Element x y z (fractional)
Dy (0.328, 0.599, 0.029)
Dy (0.672, 0.401, 0.971)
Tm (0.923, 0.074, 0.427)
Tm (0.077, 0.926, 0.573)
Tm (0.338, 0.666, 0.495)
Tm (0.662, 0.334, 0.505)
Ho (0.745, 0.215, 0.181)
Ho (0.000, 0.000, 0.000)
Ho (0.824, 0.183, 0.727)
Ho (0.255, 0.785, 0.819)
Ho (0.448, 0.439, 0.252)
Ho (0.176, 0.817, 0.273)
Ho (0.552, 0.561, 0.748)

Calculated values
- N(E_F) (states/eV per cell) = 22.5
- theoretical density (kg/m3) = 8925
- formation enthalpy at 0 K (eV per atom) = 0.08